{"formula": "HfSiN3", "functional": "GGA-PBE", "state": "optimized geometry", "lattice_angstrom": [[3.5788, 0.0000, 0.0000], [0.0000, 3.5788, 0.0000], [0.0000, 0.0000, 3.5788]], "species": ["Si", "Hf", "N", "N", "N"], "fractional_positions": [[0.0000, 0.0000, 0.0000], [0.5000, 0.5000, 0.5000], [0.0000, 0.5000, 0.0000], [0.0000, 0.0000, 0.5000], [0.5000, 0.0000, 0.0000]], "raw_formation_energy_ev_per_atom": -0.4874, "magnetic_moment_mub_per_cell": 0.000}